[1]
Below is a geometry-optimized ScCuSnPt structure, with properties calculated at the PBE-GGA level.

The value obtained for the density is 10.15 g/cm³. As for the total energy: -5.541 eV/atom.

The space group is F-43m (No. 216) and the conventional cell measures 6.5125, 6.5125 and 6.5125 Å, with angles of 90.00, 90.00 and 90.00 degrees. The distinct sites, in fractional coordinates, are Sc at (0.0000, 0.0000, 0.0000), Cu at (0.2500, 0.2500, 0.2500), Sn at (0.2500, 0.2500, 0.7500) and Pt at (0.0000, 0.0000, 0.5000).


[2]
Below is a geometry-optimized BaNaAsPd structure, with properties calculated at the PBE-GGA level.

The value obtained for the density is 5.39 g/cm³. As for the total energy: -3.594 eV/atom.

The space group is F-43m (No. 216) and the conventional cell measures 7.4937, 7.4937 and 7.4937 Å, with angles of 90.00, 90.00 and 90.00 degrees. The distinct sites, in fractional coordinates, are Ba at (0.0000, 0.0000, 0.0000), Na at (0.0000, 0.0000, 0.5000), As at (0.2500, 0.2500, 0.2500) and Pd at (0.2500, 0.2500, 0.7500).


[3]
Below is a geometry-optimized RbDyCdTe3 structure, with properties calculated at the PBE-GGA level.

The value obtained for the density is 5.46 g/cm³. As for the total energy: -3.706 eV/atom.

The space group is P2_1/m (No. 11) and the conventional cell measures 9.3771, 4.5229 and 11.3265 Å, with angles of 90.00, 109.75 and 90.00 degrees. The distinct sites, in fractional coordinates, are Rb at (0.2462, 0.2500, 0.2758), Dy at (0.3200, 0.7500, 0.8655), Cd at (0.0798, 0.2500, 0.6124), Te at (0.0878, 0.2500, 0.8620), Te at (0.2413, 0.7500, 0.5590) and Te at (0.4609, 0.7500, 0.1483).


[4]
Below is a geometry-optimized YCdCoBi structure, with properties calculated at the PBE-GGA level.

The value obtained for the density is 8.89 g/cm³. As for the total energy: -4.564 eV/atom.

The space group is F-43m (No. 216) and the conventional cell measures 7.0513, 7.0513 and 7.0513 Å, with angles of 90.00, 90.00 and 90.00 degrees. The distinct sites, in fractional coordinates, are Y at (0.0000, 0.0000, 0.0000), Cd at (0.2500, 0.2500, 0.2500), Co at (0.2500, 0.2500, 0.7500) and Bi at (0.0000, 0.0000, 0.5000).


[5]
Below is a geometry-optimized Ho4TlPbC2 structure, with properties calculated at the PBE-GGA level.

The value obtained for the density is 10.01 g/cm³. As for the total energy: -5.802 eV/atom.

The space group is P-6m2 (No. 187) and the conventional cell measures 3.6082, 3.6082 and 16.1133 Å, with angles of 90.00, 90.00 and 120.00 degrees. The distinct sites, in fractional coordinates, are Ho at (0.0000, 0.0000, 0.1666), Ho at (0.6667, 0.3333, 0.3321), Tl at (0.6667, 0.3333, 0.0000), Pb at (0.0000, 0.0000, 0.5000) and C at (0.3333, 0.6667, 0.2513).


[6]
Below is a geometry-optimized ErNb2N3 structure, with properties calculated at the PBE-GGA level.

The value obtained for the density is 9.33 g/cm³. As for the total energy: -9.503 eV/atom.

The space group is P-3m1 (No. 164) and the conventional cell measures 3.2230, 3.2230 and 7.8151 Å, with angles of 90.00, 90.00 and 120.00 degrees. The distinct sites, in fractional coordinates, are Er at (0.0000, 0.0000, 0.0000), Nb at (0.3333, 0.6667, 0.3461), N at (0.0000, 0.0000, 0.5000) and N at (0.3333, 0.6667, 0.8165).


[7]
Below is a geometry-optimized Ta4NiC2S structure, with properties calculated at the PBE-GGA level.

The value obtained for the density is 12.91 g/cm³. As for the total energy: -9.965 eV/atom.

The space group is P-6m2 (No. 187) and the conventional cell measures 3.1829, 3.1829 and 12.2961 Å, with angles of 90.00, 90.00 and 120.00 degrees. The distinct sites, in fractional coordinates, are Ta at (0.0000, 0.0000, 0.1468), Ta at (0.3333, 0.6667, 0.3427), Ni at (0.0000, 0.0000, 0.5000), C at (0.6667, 0.3333, 0.2472) and S at (0.3333, 0.6667, 0.0000).


[8]
Below is a geometry-optimized HoTePbAuSe2 structure, with properties calculated at the PBE-GGA level.

The value obtained for the density is 8.67 g/cm³. As for the total energy: -4.465 eV/atom.

The space group is Cmcm (No. 63) and the conventional cell measures 4.1318, 14.2526 and 11.1124 Å, with angles of 90.00, 90.00 and 90.00 degrees. The distinct sites, in fractional coordinates, are Ho at (0.0000, 0.0000, 0.0000), Te at (0.0000, 0.1018, 0.2500), Pb at (0.0000, 0.2099, 0.7500), Au at (0.0000, 0.4676, 0.2500) and Se at (0.0000, 0.3635, 0.0531).


[9]
Below is a geometry-optimized DyZnNi structure, with properties calculated at the PBE-GGA level.

The value obtained for the density is 8.92 g/cm³. The calculation puts the formation energy at -438 meV per atom.

The space group is Pnma (No. 62) and the conventional cell measures 6.8875, 4.3818 and 7.0735 Å, with angles of 90.00, 90.00 and 90.00 degrees. The distinct sites, in fractional coordinates, are Dy at (0.0139, 0.2500, 0.2000), Zn at (0.1920, 0.2500, 0.5933) and Ni at (0.1845, 0.7500, 0.4251).


[10]
Below is a geometry-optimized Sn2Pt9 structure, with properties calculated at the PBE-GGA level.

The value obtained for the density is 12.31 g/cm³. As for the total energy: -5.610 eV/atom.

The space group is P-3m1 (No. 164) and the conventional cell measures 2.9143, 2.9143 and 36.5452 Å, with angles of 90.00, 90.00 and 120.00 degrees. The distinct sites, in fractional coordinates, are Sn at (0.3333, 0.6667, 0.3051), Pt at (0.0000, 0.0000, 0.0000), Pt at (0.0000, 0.0000, 0.1794), Pt at (0.3333, 0.6667, 0.1193), Pt at (0.3333, 0.6667, 0.7584) and Pt at (0.3333, 0.6667, 0.9404).


[11]
Below is a geometry-optimized Ta4Cd3Mo2N3 structure, with properties calculated at the PBE-GGA level.

The value obtained for the density is 12.17 g/cm³. As for the total energy: -8.332 eV/atom.

The space group is C2/c (No. 15) and the conventional cell measures 9.0218, 5.1927 and 15.3880 Å, with angles of 90.00, 101.37 and 90.00 degrees. The distinct sites, in fractional coordinates, are Ta at (0.1117, 0.0892, 0.0863), Ta at (0.2229, 0.0834, 0.4134), Cd at (0.0000, 0.0849, 0.7500), Cd at (0.1639, 0.4246, 0.2510), Mo at (0.0520, 0.4168, 0.9126), N at (0.0860, 0.2429, 0.5000) and N at (0.2500, 0.2500, 0.0000).


[12]
Below is a geometry-optimized TaH3 structure, with properties calculated at the PBE-GGA level.

The value obtained for the density is 12.13 g/cm³. As for the total energy: -5.434 eV/atom.

The space group is Fmmm (No. 69) and the conventional cell measures 6.4423, 6.8066 and 9.1886 Å, with angles of 90.00, 90.00 and 90.00 degrees. The distinct sites, in fractional coordinates, are Ta at (0.0000, 0.2312, 0.0000), Ta at (0.2500, 0.0000, 0.2500), H at (0.0000, 0.0000, 0.3904), H at (0.0000, 0.1397, 0.1951), H at (0.1622, 0.0000, 0.0000) and H at (0.2500, 0.2500, 0.1258).


Table of calculated volume (Å³ per atom), in record order: 17.26, 26.30, 37.68, 21.91, 22.71, 11.72, 13.49, 27.27, 17.79, 24.44, 14.72, 6.30